No. 1
# HfZrTlFe

A relaxed structure of HfZrTlFe (GGA-PBE, the Open Quantum Materials Database).

The energy above the most stable polymorph in this dataset is 0.00 eV per formula unit. Its calculated volume is 300.7 Å³/cell.

The space group is F-43m (No. 216) and the conventional cell measures 6.700, 6.700 and 6.700 Å, with angles of 90.00, 90.00 and 90.00 degrees. The asymmetric unit holds Hf at (0.000, 0.000, 0.000), Zr at (0.250, 0.250, 0.250), Tl at (0.000, 0.000, 0.500) and Fe at (0.250, 0.250, 0.750).

=====

No. 2
# Nd2PdO4

A relaxed structure of Nd2PdO4 (GGA-PBE, the Open Quantum Materials Database).

The energy above the most stable polymorph in this dataset is 0.32 eV per formula unit. Its calculated volume is 199.1 Å³/cell.

The space group is I4/mmm (No. 139) and the conventional cell measures 4.041, 4.041 and 12.189 Å, with angles of 90.00, 90.00 and 90.00 degrees. The asymmetric unit holds Nd at (0.000, 0.000, 0.152), Pd at (0.000, 0.000, 0.500), O at (0.000, 0.500, 0.000) and O at (0.000, 0.500, 0.250).

=====

No. 3
# CsGdGeS3

A relaxed structure of CsGdGeS3 (GGA-PBE, the Open Quantum Materials Database).

The value obtained for the raw total energy is -4.97 eV/atom. Its calculated volume is 730.9 Å³/cell.

The space group is Cmcm (No. 63) and the conventional cell measures 4.029, 15.884 and 11.420 Å, with angles of 90.00, 90.00 and 90.00 degrees. The asymmetric unit holds Cs at (0.000, 0.214, 0.250), Gd at (0.000, 0.500, 0.000), Ge at (0.000, 0.086, 0.750), S at (0.000, 0.116, 0.524) and S at (0.000, 0.488, 0.750).